Material: Ac4AsP3
Method: DFT, GGA-PBE
State: optimized geometry

```
Ac4AsP3
1.0
-1.023 -6.015 1.688
3.100 -1.974 -5.155
5.424 -0.006 3.264
P Ac As
3 4 1
Direct
0.000 0.500 0.500
0.500 0.000 0.500
0.500 0.500 0.000
0.500 0.000 0.000
0.000 0.500 0.000
0.000 0.000 0.500
0.500 0.500 0.500
0.000 0.000 0.000
```

Results
**Total magnetization**: 0.00 μB per cell
**Space-group type**: No. 221
**Total energy**: -49.044 eV per cell